! GeIrBr2 | the Alexandria database | PBE-GGA | relaxed; values from VASP
&SYSTEM
  ibrav = 0, nat = 4, ntyp = 3
/
ATOMIC_SPECIES
Br 79.90 Br.upf
Ir 192.22 Ir.upf
Ge 72.64 Ge.upf
ATOMIC_POSITIONS crystal
Br 0.916 0.916 0.916
Ir 0.000 0.000 0.000
Ge 0.500 0.500 0.500
Br 0.084 0.084 0.084
CELL_PARAMETERS angstrom
-9.143 1.843 2.682
-7.630 4.127 4.352
-8.426 4.641 1.287
! Space group ... R-3m
! E above lowest polymorph ... 0.000 eV/atom
! DOS at the Fermi energy ... 3.485 states/eV/cell
! M_tot ... 0.000 μB/atom
! Formation energy from raw total energies ... 0.573 eV per atom